A plane-wave DFT calculation with PBE+U was carried out for Li2VF6 after structural relaxation.

Output
E above lowest polymorph in eV/atom: 0.0356
Space group: Pc (7)
Density of states at the Fermi level in states/eV/cell: 0.00
Electronic total energy in Ry/atom: -0.392
Magnetic moment in Bohr magnetons per cell: 2.0

Cell lengths 5.3808, 5.1693, 9.1052 Å; angles 56.13, 90.00, 90.00 degrees
Last column: nearest neighbours and their distance in Å.
Atoms (fractional coordinates):
V 0.7541 0.0054 0.4968  6 F 1.83-1.93
V 0.2459 0.0054 0.9968  6 F 1.83-1.93
F 0.0762 0.7503 0.9353  1 V 1.93, 2 Li 1.96-2.00
F 0.5254 0.8843 0.9314  1 V 1.85
F 0.9238 0.7503 0.4353  1 V 1.93, 2 Li 1.96-2.00
F 0.5588 0.2658 0.5363  1 V 1.89, 2 Li 2.08
F 0.2116 0.3698 0.7604  1 V 1.92, 2 Li 2.00-2.03
F 0.0490 0.0927 0.5602  1 V 1.83
F 0.4746 0.8843 0.4314  1 V 1.85
F 0.4412 0.2658 0.0363  1 V 1.89, 2 Li 2.08
F 0.3084 0.6738 0.2340  1 V 1.89, 1 Li 2.01
F 0.7884 0.3698 0.2604  1 V 1.92, 2 Li 2.00-2.03
F 0.6916 0.6738 0.7340  1 V 1.89, 1 Li 2.01
F 0.9510 0.0927 0.0602  1 V 1.83
Li 0.7742 0.4951 0.0058  6 F 1.96-2.19
Li 0.6606 0.6832 0.3045  5 F 2.00-2.18
Li 0.3394 0.6832 0.8045  5 F 2.00-2.18
Li 0.2258 0.4951 0.5058  6 F 1.96-2.19